A geometry-optimized Ti3Zn7Pd2 structure, computed with GGA-PBE.

Computed properties:
* relative energy among the computed polymorphs: 0 meV/atom
* energy of formation from the pure elements: -0.20 eV per atom

a b c (Å): 5.060 2.750 13.342
angles (deg): 90.00 95.64 90.00
Space group P2/m (No. 10)
Inequivalent atoms, fractional coordinates:
Ti 0.000 0.000 0.000
Ti 0.049 0.500 0.661
Zn 0.228 0.500 0.168
Zn 0.249 0.000 0.500
Zn 0.277 0.000 0.834
Zn 0.500 0.500 0.000
Pd 0.450 0.000 0.327

---

A geometry-optimized Ti3ZnPd4 structure, computed with GGA-PBE.

Computed properties:
* relative energy among the computed polymorphs: 49 meV/atom
* energy of formation from the pure elements: -0.48 eV per atom

a b c (Å): 9.257 5.614 4.772
angles (deg): 90.00 90.00 90.00
Space group Pmn2_1 (No. 31)
Inequivalent atoms, fractional coordinates:
Ti 0.000 0.095 0.000
Ti 0.237 0.646 0.683
Zn 0.000 0.597 0.035
Pd 0.000 0.371 0.519
Pd 0.000 0.875 0.517
Pd 0.245 0.858 0.180

---

A geometry-optimized Ti2ZnPd8 structure, computed with GGA-PBE.

Computed properties:
* relative energy among the computed polymorphs: 36 meV/atom
* energy of formation from the pure elements: -0.47 eV per atom

a b c (Å): 4.210 7.324 11.149
angles (deg): 90.00 90.00 90.00
Space group Immm (No. 71)
Inequivalent atoms, fractional coordinates:
Ti 0.000 0.000 0.201
Zn 0.000 0.000 0.500
Pd 0.000 0.184 0.000
Pd 0.000 0.283 0.343
Pd 0.000 0.500 0.140

---

A geometry-optimized Ti2Zn5Pd structure, computed with GGA-PBE.

Computed properties:
* energy of formation from the pure elements: -0.27 eV per atom

a b c (Å): 3.918 3.918 15.609
angles (deg): 90.00 90.00 90.00
Space group I4/mmm (No. 139)
Inequivalent atoms, fractional coordinates:
Ti 0.000 0.000 0.243
Zn 0.000 0.000 0.500
Zn 0.000 0.500 0.122
Pd 0.000 0.000 0.000

---

A geometry-optimized Ti3Zn3Pd structure, computed with GGA-PBE.

Computed properties:
* energy of formation from the pure elements: -0.16 eV per atom

a b c (Å): 9.392 9.184 5.303
angles (deg): 90.00 90.04 90.00
Space group C2/m (No. 12)
Inequivalent atoms, fractional coordinates:
Ti 0.000 0.152 0.000
Ti 0.000 0.260 0.500
Ti 0.145 0.000 0.500
Zn 0.000 0.500 0.242
Zn 0.250 0.250 0.249
Pd 0.238 0.500 0.999

---

A geometry-optimized Ti5Zn2Pd structure, computed with GGA-PBE.

Computed properties:
* relative energy among the computed polymorphs: 68 meV/atom
* energy of formation from the pure elements: -0.13 eV per atom

a b c (Å): 7.213 7.213 10.049
angles (deg): 90.00 90.00 90.00
Space group I4/mcm (No. 140)
Inequivalent atoms, fractional coordinates:
Ti 0.000 0.000 0.000
Ti 0.149 0.351 0.156
Zn 0.148 0.352 0.500
Pd 0.000 0.000 0.250

---

Question: Which of these has the highest energy of formation from the pure elements?
Answer: Ti5Zn2Pd

---

Question: The lowest energy of formation from the pure elements belongs to which entry?
Answer: Ti3ZnPd4

---

Question: Which value of energy of formation from the pure elements does entry 1 give?
Answer: -0.20 eV per atom

---

Question: Among the records above, which one has the lowest energy of formation from the pure elements?
Answer: Ti3ZnPd4